Material: LaMg2Si2
Method: DFT, PBE
State: optimized geometry

Geometry as extended XYZ:
```
5
Lattice="4.3147 0.0000 0.0000 0.0000 4.3147 0.0000 0.0000 0.0000 5.8220" Properties=species:S:1:pos:R:3 pbc="T T T"
La 0.0000 0.0000 0.0000
Mg 0.0000 2.1573 2.9110
Mg 2.1573 0.0000 2.9110
Si 2.1573 2.1573 1.1627
Si 2.1573 2.1573 4.6593
```

Results
Uncorrected energy = -4.278 eV/atom
Formation energy (no corrections) = -0.4851 eV/atom
Size of the total moment = 0.00 μB per formula unit
Distance to the lowest polymorph of the same formula = 0.0 meV/atom
ρ = 3.733 g cm⁻³

Material: Ac2Tb5Ho2
Method: DFT, PBE
State: optimized geometry

Geometry as extended XYZ:
```
9
Lattice="-0.3334 -3.5526 -0.5509 8.2420 -0.7817 0.0531 -6.6542 0.7504 11.0191" Properties=species:S:1:pos:R:3 pbc="T T T"
Ac 1.8565 -3.0404 6.6527
Ac -0.6021 -0.5434 3.8685
Tb 4.2161 -2.8278 3.8535
Tb -2.9617 -0.7560 6.6678
Tb -1.3167 -3.0381 8.5581
Tb 2.5711 -0.5457 1.9631
Tb 0.0000 0.0000 0.0000
Ho 5.3032 -2.4540 0.7849
Ho -4.0488 -1.1298 9.7364
```

Results
Energy relative to the elements = 206.5 meV per atom
Uncorrected energy = -4.296 eV/atom
Size of the total moment = 0.00 μB per formula unit
ρ = 8.034 g cm⁻³

Please write out number 2 again, unchanged.
Material: Ac2Tb5Ho2
Method: DFT, PBE
State: optimized geometry

Geometry as extended XYZ:
```
9
Lattice="-0.3334 -3.5526 -0.5509 8.2420 -0.7817 0.0531 -6.6542 0.7504 11.0191" Properties=species:S:1:pos:R:3 pbc="T T T"
Ac 1.8565 -3.0404 6.6527
Ac -0.6021 -0.5434 3.8685
Tb 4.2161 -2.8278 3.8535
Tb -2.9617 -0.7560 6.6678
Tb -1.3167 -3.0381 8.5581
Tb 2.5711 -0.5457 1.9631
Tb 0.0000 0.0000 0.0000
Ho 5.3032 -2.4540 0.7849
Ho -4.0488 -1.1298 9.7364
```

Results
Energy relative to the elements = 206.5 meV per atom
Uncorrected energy = -4.296 eV/atom
Size of the total moment = 0.00 μB per formula unit
ρ = 8.034 g cm⁻³